# Tb6Sm2Ho3Pb | Alexandria | GGA-PBE | relaxed
# total DFT energy (no corrections)	-4.616	eV/atom
# size of the total moment	0.00	μB/f.u.
# DOS(E_F)	13.7	states/eV/f.u.
data_Tb6Sm2Ho3Pb
_chemical_formula_sum 'Tb12 Sm4 Ho6 Pb2'
_symmetry_space_group_name_H-M 'C 1 2/m 1'
_symmetry_Int_Tables_number 12
_cell_length_a 6.106
_cell_length_b 10.585
_cell_length_c 11.760
_cell_angle_alpha 90.00
_cell_angle_beta 100.03
_cell_angle_gamma 90.00
loop_
_symmetry_equiv_pos_as_xyz
'x,y,z'
'-x,-y,-z'
'-x,y,-z'
'x,-y,z'
'x+1/2,y+1/2,z'
'-x+1/2,-y+1/2,-z'
'-x+1/2,y+1/2,-z'
'x+1/2,-y+1/2,z'
loop_
_atom_site_label
_atom_site_type_symbol
_atom_site_fract_x
_atom_site_fract_y
_atom_site_fract_z
Tb1 Tb 0.244 0.000 0.248
Tb2 Tb 0.247 0.164 0.751
Sm1 Sm 0.000 0.334 0.500
Ho1 Ho 0.000 0.168 0.000
Ho2 Ho 0.000 0.500 0.000
Pb1 Pb 0.000 0.000 0.500

***

# Tb2Sm3Ho6Pb | Alexandria | GGA-PBE | relaxed
# total DFT energy (no corrections)	-4.603	eV/atom
# size of the total moment	0.00	μB/f.u.
# DOS(E_F)	15.4	states/eV/f.u.
data_Tb2Sm3Ho6Pb
_chemical_formula_sum 'Tb4 Sm6 Ho12 Pb2'
_symmetry_space_group_name_H-M 'C 1 2/m 1'
_symmetry_Int_Tables_number 12
_cell_length_a 6.117
_cell_length_b 10.598
_cell_length_c 11.678
_cell_angle_alpha 90.00
_cell_angle_beta 100.13
_cell_angle_gamma 90.00
loop_
_symmetry_equiv_pos_as_xyz
'x,y,z'
'-x,-y,-z'
'-x,y,-z'
'x,-y,z'
'x+1/2,y+1/2,z'
'-x+1/2,-y+1/2,-z'
'-x+1/2,y+1/2,-z'
'x+1/2,-y+1/2,z'
loop_
_atom_site_label
_atom_site_type_symbol
_atom_site_fract_x
_atom_site_fract_y
_atom_site_fract_z
Tb1 Tb 0.000 0.166 0.000
Sm1 Sm 0.000 0.000 0.500
Sm2 Sm 0.000 0.332 0.500
Ho1 Ho 0.245 0.336 0.246
Ho2 Ho 0.247 0.500 0.753
Pb1 Pb 0.000 0.500 0.000